i.
A plane-wave DFT calculation with PBE was carried out for crystalline CuSeBr2N at its relaxed geometry.

The structure in POSCAR format:
```
CuSeBr2N
1.0
4.5872 0.0000 0.0000
0.0000 4.5872 0.0000
0.0000 0.0000 4.5106
Cu Se Br N
1 1 2 1
direct
0.0000 0.0000 0.0000
0.5000 0.5000 0.0000
0.0000 0.5000 0.5000
0.5000 0.0000 0.5000
0.5000 0.5000 0.5000
```

## Properties
D(E_F): 0.5576 states/eV/atom

ii.
A plane-wave DFT calculation with PBE was carried out for crystalline CuSeBr2N at its relaxed geometry.

The structure in POSCAR format:
```
CuSeBr2N
1.0
4.8013 0.0000 0.0000
0.0000 4.8013 0.0000
0.0000 0.0000 4.9212
Cu Se Br N
1 1 2 1
direct
0.0000 0.0000 0.0000
0.0000 0.0000 0.5000
0.0000 0.5000 0.0000
0.5000 0.0000 0.0000
0.5000 0.5000 0.5000
```

## Properties
D(E_F): 1.7408 states/eV/atom

Most stable to least stable, the ends of the list are i and ii.

i.
A plane-wave DFT calculation with PBE was carried out for crystalline CuTeBrN2 at its relaxed geometry.

The structure in POSCAR format:
```
CuTeBrN2
1.0
3.8172 0.0000 0.0000
0.0000 3.8172 0.0000
0.0000 0.0000 7.9017
Cu Te Br N
1 1 1 2
direct
0.0000 0.0000 0.0000
0.5000 0.5000 0.0000
0.5000 0.5000 0.5000
0.0000 0.5000 0.5000
0.5000 0.0000 0.5000
```

## Properties
D(E_F): 0.8989 states/eV/atom

ii.
A plane-wave DFT calculation with PBE was carried out for crystalline CuTeBrN2 at its relaxed geometry.

The structure in POSCAR format:
```
CuTeBrN2
1.0
4.0395 0.0000 0.0000
0.0000 4.0395 0.0000
0.0000 0.0000 5.8293
Cu Te Br N
1 1 1 2
direct
0.0000 0.0000 0.0000
0.0000 0.0000 0.5000
0.5000 0.5000 0.5000
0.0000 0.5000 0.0000
0.5000 0.0000 0.0000
```

## Properties
D(E_F): 0.5837 states/eV/atom

Most stable to least stable, the ends of the list are ii and i.

i.
A plane-wave DFT calculation with PBE was carried out for crystalline NaCuBr3 at its relaxed geometry.

The structure in POSCAR format:
```
NaCuBr3
1.0
5.1075 0.0000 0.0000
0.0000 5.1075 0.0000
0.0000 0.0000 5.1075
Na Cu Br
1 1 3
direct
0.0000 0.0000 0.0000
0.5000 0.5000 0.5000
0.0000 0.5000 0.5000
0.5000 0.0000 0.5000
0.5000 0.5000 0.0000
```

## Properties
D(E_F): 0.3402 states/eV/atom

ii.
A plane-wave DFT calculation with PBE was carried out for crystalline NaCuBr3 at its relaxed geometry.

The structure in POSCAR format:
```
NaCuBr3
1.0
5.0108 0.0000 0.0000
0.0000 8.6180 3.5106
0.0000 -8.6180 3.5106
Na Cu Br
2 2 6
direct
0.2500 0.1595 0.8405
0.7500 0.8405 0.1595
0.2500 0.3857 0.5517
0.7500 0.5517 0.3857
0.2500 0.0712 0.4614
0.2500 0.4872 0.3644
0.2500 0.7043 0.9176
0.7500 0.3644 0.4872
0.7500 0.4614 0.0712
0.7500 0.9176 0.7043
```

## Properties
D(E_F): 1.0821 states/eV/atom

Most stable to least stable, the ends of the list are ii and i.

i.
A plane-wave DFT calculation with PBE was carried out for crystalline NaCuBr2 at its relaxed geometry.

The structure in POSCAR format:
```
NaCuBr2
1.0
1.9923 1.1502 6.7967
-1.9923 1.1502 6.7967
0.0000 -2.3005 6.7967
Na Cu Br
1 1 2
direct
0.0000 0.0000 0.0000
0.1676 0.1676 0.1676
0.5717 0.5717 0.5717
0.7622 0.7622 0.7622
```

ii.
A plane-wave DFT calculation with PBE was carried out for crystalline NaCuBr2 at its relaxed geometry.

The structure in POSCAR format:
```
NaCuBr2
1.0
2.2779 1.3151 7.4578
-2.2779 1.3151 7.4578
0.0000 -2.6303 7.4578
Na Cu Br
1 1 2
direct
0.0000 0.0000 0.0000
0.5000 0.5000 0.5000
0.3997 0.3997 0.3997
0.6003 0.6003 0.6003
```

## Properties
D(E_F): 0.0000 states/eV/atom

Most stable to least stable, the ends of the list are ii and i.

i.
A plane-wave DFT calculation with PBE was carried out for crystalline Na3CuBr4 at its relaxed geometry.

The structure in POSCAR format:
```
Na3CuBr4
1.0
4.1933 0.0000 0.0000
0.0000 4.1933 0.0000
0.0000 0.0000 11.4907
Na Cu Br
3 1 4
direct
0.0000 0.0000 0.0000
0.5000 0.5000 0.2589
0.5000 0.5000 0.7411
0.0000 0.0000 0.5000
0.0000 0.0000 0.2720
0.0000 0.0000 0.7280
0.5000 0.5000 0.0000
0.5000 0.5000 0.5000
```

ii.
A plane-wave DFT calculation with PBE was carried out for crystalline Na3CuBr4 at its relaxed geometry.

The structure in POSCAR format:
```
Na3CuBr4
1.0
-3.2253 3.2253 6.2185
3.2253 -3.2253 6.2185
3.2253 3.2253 -6.2185
Na Cu Br
3 1 4
direct
0.0000 0.0000 0.0000
0.2500 0.7500 0.5000
0.7500 0.2500 0.5000
0.5000 0.5000 0.0000
0.1608 0.1608 0.5494
0.3886 0.8392 0.0000
0.6114 0.6114 0.4506
0.8392 0.3886 0.0000
```

## Properties
D(E_F): 0.0000 states/eV/atom

Most stable to least stable, the ends of the list are ii and i.

i.
A plane-wave DFT calculation with PBE was carried out for crystalline NaCuSeBr2 at its relaxed geometry.

The structure in POSCAR format:
```
NaCuSeBr2
1.0
5.2895 0.0000 0.0000
0.0000 5.2895 0.0000
0.0000 0.0000 4.7329
Na Cu Se Br
1 1 1 2
direct
0.0000 0.0000 0.0000
0.5000 0.5000 0.5000
0.5000 0.5000 0.0000
0.0000 0.5000 0.5000
0.5000 0.0000 0.5000
```

## Properties
D(E_F): 0.8019 states/eV/atom

ii.
A plane-wave DFT calculation with PBE was carried out for crystalline NaCuSeBr2 at its relaxed geometry.

The structure in POSCAR format:
```
NaCuSeBr2
1.0
5.3457 0.0000 0.0000
0.0000 5.3457 0.0000
0.0000 0.0000 5.2761
Na Cu Se Br
1 1 1 2
direct
0.0000 0.0000 0.0000
0.5000 0.5000 0.5000
0.0000 0.0000 0.5000
0.0000 0.5000 0.0000
0.5000 0.0000 0.0000
```

## Properties
D(E_F): 1.6439 states/eV/atom

Most stable to least stable, the ends of the list are i and ii.